CaCdHgH | GGA-PBE | relaxed

a b c (Å): 4.3539 4.3539 8.6347
angles (deg): 90.00 90.00 90.00
Element x y z (fractional)
Ca1 0.2500 0.2500 0.1213
Ca2 0.7500 0.7500 0.8787
Cd1 0.2500 0.7500 0.5000
Cd2 0.7500 0.2500 0.5000
Hg1 0.2500 0.2500 0.7351
Hg2 0.7500 0.7500 0.2649
H1 0.2500 0.7500 0.0000
H2 0.7500 0.2500 0.0000

Results
Final energy   -1.982 eV per atom
Total moment   0.000 μB per atom